PBE TlTcAs3, relaxed; crystal system = cubic; polymorph energy (0 for the lowest one) = 0.000 eV/atom; space-group type = Pm-3m (221); formation enthalpy at 0 K = 0.341 eV/atom; M_tot = 0.00 μB per formula unit
1.0
4.909 0.000 0.000
0.000 4.909 0.000
0.000 0.000 4.909
Tl Tc As
1 1 3
Direct
0.000 0.000 0.000
0.500 0.500 0.500
0.000 0.500 0.500
0.500 0.000 0.500
0.500 0.500 0.000